[1]
VASP calculation (GGA-PBE) on NaC2NO3 after structural relaxation.

Values from the calculation:
- crystal system = monoclinic
- DOS at the Fermi energy (states/eV/cell) = 7.1
- offset from the most stable computed form (meV/atom) = 521
- ΔE_f (raw) (meV/atom) = -552

Cell: 5.398 3.739 20.870 Å, 78.58 90.00 90.00°
Atoms (fractional coordinates):
N 0.754 0.960 0.959
N 0.246 0.040 0.041
N 0.746 0.960 0.459
N 0.254 0.040 0.541
Na 0.218 0.654 0.312
Na 0.282 0.654 0.812
Na 0.718 0.346 0.188
Na 0.782 0.346 0.688
O 0.540 0.364 0.590
O 0.460 0.636 0.410
O 0.039 0.814 0.202
O 0.439 0.858 0.167
O 0.939 0.142 0.333
O 0.040 0.636 0.910
O 0.061 0.858 0.667
O 0.461 0.814 0.702
O 0.539 0.186 0.298
O 0.961 0.186 0.798
O 0.960 0.364 0.090
O 0.561 0.142 0.833
C 0.628 0.869 0.408
C 0.128 0.131 0.092
C 0.292 0.905 0.661
C 0.372 0.131 0.592
C 0.792 0.095 0.839
C 0.872 0.869 0.908
C 0.708 0.095 0.339
C 0.208 0.905 0.161



[2]
VASP calculation (GGA-PBE) on NaC2NO3 after structural relaxation.

Values from the calculation:
- crystal system = monoclinic
- DOS at the Fermi energy (states/eV/cell) = 0.0
- offset from the most stable computed form (meV/atom) = 0
- ΔE_f (raw) (meV/atom) = -1073

Cell: 5.227 3.548 22.833 Å, 87.68 90.00 90.00°
Atoms (fractional coordinates):
C 0.325 0.860 0.433
C 0.312 0.142 0.334
C 0.812 0.858 0.166
C 0.175 0.860 0.933
C 0.675 0.140 0.567
C 0.825 0.140 0.067
C 0.188 0.142 0.834
C 0.688 0.858 0.666
O 0.075 0.200 0.332
O 0.575 0.800 0.168
O 0.925 0.800 0.668
O 0.744 0.249 0.520
O 0.425 0.200 0.832
O 0.475 0.220 0.294
O 0.025 0.220 0.794
O 0.525 0.780 0.706
O 0.244 0.751 0.980
O 0.256 0.751 0.480
O 0.975 0.780 0.206
O 0.756 0.249 0.020
N 0.421 0.960 0.386
N 0.921 0.040 0.114
N 0.579 0.040 0.614
N 0.079 0.960 0.886
Na 0.798 0.704 0.302
Na 0.702 0.704 0.802
Na 0.202 0.296 0.698
Na 0.298 0.296 0.198



[3]
VASP calculation (GGA-PBE) on NaCNO after structural relaxation.

Values from the calculation:
- crystal system = trigonal
- DOS at the Fermi energy (states/eV/cell) = 0.0
- ΔE_f (raw) (meV/atom) = -949

Cell: 5.492 5.492 5.492 Å, 39.06 39.06 39.06°
Atoms (fractional coordinates):
C 0.001 0.001 0.001
N 0.922 0.922 0.922
Na 0.506 0.506 0.506
O 0.082 0.082 0.082



[4]
VASP calculation (GGA-PBE) on NaP2CN6 after structural relaxation.

Values from the calculation:
- crystal system = monoclinic
- DOS at the Fermi energy (states/eV/cell) = 5.2
- ΔE_f (raw) (meV/atom) = 106

Cell: 5.221 7.055 7.055 Å, 102.31 73.44 73.44°
Atoms (fractional coordinates):
P 0.949 0.672 0.812
P 0.449 0.812 0.672
P 0.051 0.328 0.188
P 0.551 0.188 0.328
N 0.280 0.223 0.919
N 0.237 0.718 0.798
N 0.007 0.572 0.240
N 0.780 0.919 0.223
N 0.263 0.202 0.282
N 0.763 0.282 0.202
N 0.993 0.428 0.760
N 0.720 0.777 0.081
N 0.220 0.081 0.777
N 0.507 0.240 0.572
N 0.493 0.760 0.428
N 0.737 0.798 0.718
C 0.250 0.276 0.724
C 0.750 0.724 0.276
Na 0.250 0.808 0.192
Na 0.750 0.192 0.808



[5]
VASP calculation (GGA-PBE) on NaPa2CN5 after structural relaxation.

Values from the calculation:
- crystal system = tetragonal
- DOS at the Fermi energy (states/eV/cell) = 4.9
- ΔE_f (raw) (meV/atom) = -361

Cell: 5.135 6.580 6.580 Å, 90.00 90.00 90.00°
Atoms (fractional coordinates):
Pa 0.500 0.811 0.689
Pa 0.500 0.689 0.189
Pa 0.500 0.189 0.311
Pa 0.500 0.311 0.811
C 0.000 0.000 0.500
C 0.000 0.500 0.000
Na 0.000 0.500 0.500
Na 0.000 0.000 0.000
N 0.779 0.620 0.880
N 0.779 0.380 0.120
N 0.221 0.880 0.380
N 0.500 0.500 0.500
N 0.221 0.380 0.120
N 0.500 0.000 0.000
N 0.221 0.120 0.620
N 0.779 0.880 0.380
N 0.779 0.120 0.620
N 0.221 0.620 0.880



[6]
VASP calculation (GGA-PBE) on Na2PaC2N6 after structural relaxation.

Values from the calculation:
- crystal system = trigonal
- DOS at the Fermi energy (states/eV/cell) = 4.0
- ΔE_f (raw) (meV/atom) = -184

Cell: 5.591 5.591 5.814 Å, 90.00 90.00 120.00°
Atoms (fractional coordinates):
N 0.805 0.195 0.212
N 0.610 0.805 0.788
N 0.805 0.610 0.212
N 0.390 0.195 0.212
N 0.195 0.805 0.788
N 0.195 0.390 0.788
Na 0.667 0.333 0.680
Na 0.333 0.667 0.320
C 0.667 0.333 0.211
C 0.333 0.667 0.789
Pa 0.000 0.000 0.000



[7]
VASP calculation (GGA-PBE) on NaPa3C4N12 after structural relaxation.

Values from the calculation:
- crystal system = trigonal
- DOS at the Fermi energy (states/eV/cell) = 7.3
- ΔE_f (raw) (meV/atom) = -356

Cell: 6.612 6.612 6.612 Å, 101.48 101.48 101.48°
Atoms (fractional coordinates):
C 0.500 0.971 0.029
C 0.029 0.500 0.971
C 0.971 0.029 0.500
C 0.500 0.500 0.500
N 0.810 0.005 0.595
N 0.005 0.595 0.810
N 0.500 0.367 0.633
N 0.405 0.995 0.190
N 0.595 0.810 0.005
N 0.103 0.897 0.500
N 0.500 0.103 0.897
N 0.995 0.190 0.405
N 0.367 0.633 0.500
N 0.633 0.500 0.367
N 0.897 0.500 0.103
N 0.190 0.405 0.995
Pa 0.533 0.467 0.000
Pa 0.000 0.533 0.467
Pa 0.467 0.000 0.533
Na 0.000 0.000 0.000



[8]
VASP calculation (GGA-PBE) on Na2PdCN2 after structural relaxation.

Values from the calculation:
- crystal system = orthorhombic
- DOS at the Fermi energy (states/eV/cell) = 7.7
- ΔE_f (raw) (meV/atom) = -45

Cell: 4.354 8.620 6.668 Å, 130.27 90.00 90.00°
Atoms (fractional coordinates):
N 0.201 0.213 0.755
N 0.201 0.458 0.245
N 0.701 0.787 0.245
N 0.701 0.542 0.755
C 0.699 0.668 0.000
C 0.199 0.332 0.000
Na 0.204 0.411 0.572
Na 0.204 0.839 0.428
Na 0.704 0.589 0.428
Na 0.704 0.161 0.572
Pd 0.963 0.089 0.000
Pd 0.463 0.911 0.000



[9]
VASP calculation (GGA-PBE) on NaPmCN2 after structural relaxation.

Values from the calculation:
- crystal system = monoclinic
- DOS at the Fermi energy (states/eV/cell) = 4.0
- ΔE_f (raw) (meV/atom) = -373

Cell: 5.577 6.670 7.569 Å, 124.76 90.00 90.00°
Atoms (fractional coordinates):
Na 0.785 0.500 0.250
Na 0.215 0.500 0.750
Pm 0.499 0.000 0.750
Pm 0.501 0.000 0.250
C 0.000 0.000 0.500
C 0.000 0.000 0.000
N 0.219 0.031 0.515
N 0.219 0.969 0.985
N 0.781 0.969 0.485
N 0.781 0.031 0.015



[10]
VASP calculation (GGA-PBE) on NaPr3C2N6 after structural relaxation.

Values from the calculation:
- crystal system = trigonal
- DOS at the Fermi energy (states/eV/cell) = 0.1
- ΔE_f (raw) (meV/atom) = -700

Cell: 5.536 5.536 6.219 Å, 90.00 90.00 120.00°
Atoms (fractional coordinates):
N 0.809 0.617 0.734
N 0.617 0.809 0.266
N 0.383 0.191 0.734
N 0.191 0.809 0.266
N 0.809 0.191 0.734
N 0.191 0.383 0.266
Pr 0.333 0.667 0.661
Pr 0.667 0.333 0.339
Pr 0.000 0.000 0.000
C 0.667 0.333 0.751
C 0.333 0.667 0.249
Na 0.000 0.000 0.500



[11]
VASP calculation (GGA-PBE) on NaPr2C2N6 after structural relaxation.

Values from the calculation:
- crystal system = monoclinic
- DOS at the Fermi energy (states/eV/cell) = 4.1
- ΔE_f (raw) (meV/atom) = -279

Cell: 6.701 5.974 6.417 Å, 111.96 90.01 55.86°
Atoms (fractional coordinates):
Pr 0.171 0.658 0.194
Pr 0.829 0.342 0.806
N 0.409 0.515 0.785
N 0.095 0.810 0.632
N 0.905 0.190 0.368
N 0.923 0.485 0.215
N 0.591 0.485 0.215
N 0.077 0.515 0.785
C 0.809 0.381 0.272
C 0.191 0.619 0.728
Na 0.500 0.000 0.500



[12]
VASP calculation (GGA-PBE) on NaPrCN2 after structural relaxation.

Values from the calculation:
- crystal system = monoclinic
- DOS at the Fermi energy (states/eV/cell) = 3.6
- ΔE_f (raw) (meV/atom) = -355

Cell: 5.433 6.326 7.552 Å, 117.61 90.00 90.00°
Atoms (fractional coordinates):
N 0.214 0.945 0.439
N 0.214 0.055 0.061
N 0.786 0.055 0.561
N 0.786 0.945 0.939
Na 0.172 0.500 0.250
Na 0.828 0.500 0.750
Pr 0.449 0.000 0.750
Pr 0.551 0.000 0.250
C 0.000 0.000 0.000
C 0.000 0.000 0.500



- The highest DOS at the Fermi energy belongs to which entry?
  Na2PdCN2



- What is the DOS at the Fermi energy in the sixth record?
  4.0 states/eV/cell